# 1
The following is a DFT calculation (SCAN) of a crystal of Na2CoSiCO7 relaxed with PBEsol.

Values from the calculation:
Formation energy (no corrections) = -1920 meV per atom
Calculated density = 3.0 g/cm3
Crystal system = monoclinic

a b c (Å): 5.097 6.253 8.916
angles (deg): 90.00 92.77 90.00
Space group P2_1/m (No. 11)
Inequivalent atoms, fractional coordinates:
Na 0.242 0.015 0.255 x4
Co 0.208 0.250 0.841 x2
Si 0.286 0.750 0.932 x2
C 0.277 0.250 0.582 x2
O 0.047 0.250 0.641 x2
O 0.123 0.750 0.084 x2
O 0.212 0.544 0.823 x4
O 0.314 0.250 0.445 x2
O 0.394 0.250 0.028 x2
O 0.465 0.250 0.688 x2


# 2
The following is a DFT calculation (SCAN) of a crystal of TePH3 relaxed with PBEsol.

Values from the calculation:
Calculated density = 5.5 g/cm3
Final energy = -10.748 eV per atom
Crystal system = cubic

a b c (Å): 3.656 3.656 3.656
angles (deg): 90.00 90.00 90.00
Space group Pm-3m (No. 221)
Inequivalent atoms, fractional coordinates:
Te 0.000 0.000 0.000 x1
P 0.500 0.500 0.500 x1
H 0.000 0.500 0.500 x3


# 3
The following is a DFT calculation (SCAN) of a crystal of MnCo2Mo relaxed with PBEsol.

Values from the calculation:
Energy relative to the lowest polymorph listed for this composition = 50 meV/atom
Formation enthalpy at 0 K = 0.119 eV/atom
Calculated density = 9.7 g/cm3
Crystal system = tetragonal

a b c (Å): 3.564 3.564 7.228
angles (deg): 90.00 90.00 90.00
Space group I-4m2 (No. 119)
Inequivalent atoms, fractional coordinates:
Mn 0.000 0.000 0.000 x2
Co 0.000 0.000 0.500 x2
Co 0.000 0.500 0.250 x2
Mo 0.000 0.500 0.750 x2


# 4
The following is a DFT calculation (SCAN) of a crystal of LaW relaxed with PBEsol.

Values from the calculation:
Energy relative to the lowest polymorph listed for this composition = 0 meV/atom
Formation enthalpy at 0 K = 0.601 eV/atom
Calculated density = 12.1 g/cm3
Crystal system = monoclinic

a b c (Å): 3.108 4.260 6.807
angles (deg): 90.00 100.98 90.00
Space group P2_1/m (No. 11)
Inequivalent atoms, fractional coordinates:
La 0.175 0.250 0.353 x2
W 0.319 0.250 0.922 x2